[1]
{
  "formula": "Y2HfTeI",
  "functional": "PBE",
  "state": "optimized geometry",
  "dos_at_fermi_per_ev_atom": 1.5209,
  "formation_energy_uncorrected_kcal_per_mol_atoms": 6.9,
  "space_group": "P4/mmm",
  "cell": [[5.7709, 0.0000, 0.0000], [0.0000, 5.7709, 0.0000], [0.0000, 0.0000, 5.2685]],
  "species": ["Y", "Y", "Hf", "Te", "I"],
  "fractional_positions": [[0.0000, 0.5000, 0.0000], [0.5000, 0.0000, 0.0000], [0.0000, 0.0000, 0.5000], [0.0000, 0.0000, 0.0000], [0.5000, 0.5000, 0.5000]]
}

[2]
{
  "formula": "SnRuC2",
  "functional": "PBE",
  "state": "optimized geometry",
  "e_form_ev_per_atom": 0.9238,
  "dos_at_fermi_per_ev_atom": 0.3545,
  "space_group": "I-42d",
  "cell": [[-2.4241, 2.4241, 4.9333], [2.4241, -2.4241, 4.9333], [2.4241, 2.4241, -4.9333]],
  "species": ["Sn", "Sn", "Ru", "Ru", "C", "C", "C", "C"],
  "fractional_positions": [[0.0000, 0.0000, 0.0000], [0.7500, 0.2500, 0.5000], [0.2500, 0.7500, 0.5000], [0.5000, 0.5000, 0.0000], [0.1737, 0.6250, 0.0487], [0.3750, 0.4237, 0.5487], [0.5763, 0.1250, 0.9513], [0.8750, 0.8263, 0.4513]]
}

[3]
{
  "formula": "BaCd7",
  "functional": "PBE",
  "state": "optimized geometry",
  "e_form_ev_per_atom": -0.1850,
  "dos_at_fermi_per_ev_atom": 0.5782,
  "de_polymorph_ev_per_fu": 0.00,
  "space_group": "C2/m",
  "cell": [[6.1257, -4.1180, 0.0000], [6.1257, 4.1180, 0.0000], [-1.6658, 0.0000, 4.2703]],
  "species": ["Ba", "Cd", "Cd", "Cd", "Cd", "Cd", "Cd", "Cd"],
  "fractional_positions": [[0.0000, 0.0000, 0.0000], [0.1777, 0.5514, 0.3626], [0.2457, 0.2457, 0.7456], [0.4486, 0.8223, 0.6374], [0.5000, 0.5000, 0.0000], [0.5514, 0.1777, 0.3626], [0.7543, 0.7543, 0.2544], [0.8223, 0.4486, 0.6374]]
}

[4]
{
  "formula": "BaTl2FeCl6",
  "functional": "PBE",
  "state": "optimized geometry",
  "dos_at_fermi_per_ev_atom": 0.7033,
  "formation_energy_uncorrected_kcal_per_mol_atoms": -30.6,
  "space_group": "P2_1/c",
  "cell": [[7.4462, 0.0000, 0.0000], [0.0000, 7.6896, 0.0000], [-7.2015, 0.0000, 10.6760]],
  "species": ["Ba", "Ba", "Tl", "Tl", "Tl", "Tl", "Fe", "Fe", "Cl", "Cl", "Cl", "Cl", "Cl", "Cl", "Cl", "Cl", "Cl", "Cl", "Cl", "Cl"],
  "fractional_positions": [[0.0000, 0.0000, 0.0000], [0.0000, 0.5000, 0.5000], [0.2798, 0.0665, 0.7566], [0.2798, 0.4335, 0.2566], [0.7202, 0.5665, 0.7434], [0.7202, 0.9335, 0.2434], [0.5000, 0.0000, 0.5000], [0.5000, 0.5000, 0.0000], [0.1760, 0.0251, 0.2792], [0.1760, 0.4749, 0.7792], [0.2828, 0.6776, 0.0538], [0.2828, 0.8224, 0.5538], [0.3843, 0.2262, 0.0547], [0.3843, 0.2738, 0.5547], [0.6157, 0.7262, 0.4453], [0.6157, 0.7738, 0.9453], [0.7172, 0.1776, 0.4462], [0.7172, 0.3224, 0.9462], [0.8240, 0.5251, 0.2208], [0.8240, 0.9749, 0.7208]]
}

[5]
{
  "formula": "Zn2H2Cl",
  "functional": "PBE",
  "state": "optimized geometry",
  "dos_at_fermi_per_ev_atom": 0.3283,
  "de_polymorph_ev_per_fu": 2.31,
  "space_group": "P4/mbm",
  "cell": [[6.6745, 0.0000, 0.0000], [0.0000, 6.6745, 0.0000], [0.0000, 0.0000, 2.8511]],
  "species": ["Zn", "Zn", "Zn", "Zn", "H", "H", "H", "H", "Cl", "Cl"],
  "fractional_positions": [[0.1338, 0.3662, 0.0000], [0.3662, 0.8662, 0.0000], [0.6338, 0.1338, 0.0000], [0.8662, 0.6338, 0.0000], [0.1172, 0.6172, 0.5000], [0.3828, 0.1172, 0.5000], [0.6172, 0.8828, 0.5000], [0.8828, 0.3828, 0.5000], [0.0000, 0.0000, 0.5000], [0.5000, 0.5000, 0.5000]]
}

[6]
{
  "formula": "Lu3V5S12",
  "functional": "PBE",
  "state": "optimized geometry",
  "dos_at_fermi_per_ev_atom": 0.9942,
  "formation_energy_uncorrected_kcal_per_mol_atoms": -26.2,
  "space_group": "Ia-3d",
  "cell": [[-7.3950, 7.3950, 7.3950], [7.3950, -7.3950, 7.3950], [7.3950, 7.3950, -7.3950]],
  "species": ["Lu", "Lu", "Lu", "Lu", "Lu", "Lu", "Lu", "Lu", "Lu", "Lu", "Lu", "Lu", "V", "V", "V", "V", "V", "V", "V", "V", "V", "V", "V", "V", "V", "V", "V", "V", "V", "V", "V", "V", "S", "S", "S", "S", "S", "S", "S", "S", "S", "S", "S", "S", "S", "S", "S", "S", "S", "S", "S", "S", "S", "S", "S", "S", "S", "S", "S", "S", "S", "S", "S", "S", "S", "S", "S", "S", "S", "S", "S", "S", "S", "S", "S", "S", "S", "S", "S", "S"],
  "fractional_positions": [[0.1250, 0.2500, 0.3750], [0.1250, 0.3750, 0.7500], [0.2500, 0.3750, 0.1250], [0.2500, 0.8750, 0.6250], [0.3750, 0.1250, 0.2500], [0.3750, 0.7500, 0.1250], [0.6250, 0.2500, 0.8750], [0.6250, 0.8750, 0.7500], [0.7500, 0.1250, 0.3750], [0.7500, 0.6250, 0.8750], [0.8750, 0.6250, 0.2500], [0.8750, 0.7500, 0.6250], [0.0000, 0.0000, 0.0000], [0.0000, 0.0000, 0.5000], [0.0000, 0.5000, 0.0000], [0.0000, 0.5000, 0.5000], [0.1250, 0.7500, 0.8750], [0.1250, 0.8750, 0.2500], [0.2500, 0.1250, 0.8750], [0.2500, 0.6250, 0.3750], [0.3750, 0.2500, 0.6250], [0.3750, 0.6250, 0.7500], [0.5000, 0.0000, 0.0000], [0.5000, 0.0000, 0.5000], [0.5000, 0.5000, 0.0000], [0.5000, 0.5000, 0.5000], [0.6250, 0.3750, 0.2500], [0.6250, 0.7500, 0.3750], [0.7500, 0.3750, 0.6250], [0.7500, 0.8750, 0.1250], [0.8750, 0.1250, 0.7500], [0.8750, 0.2500, 0.1250], [0.0337, 0.2126, 0.1224], [0.0337, 0.3211, 0.9113], [0.0887, 0.6224, 0.4098], [0.0887, 0.9663, 0.6789], [0.0902, 0.7126, 0.6789], [0.0902, 0.8776, 0.4113], [0.1224, 0.0337, 0.2126], [0.1224, 0.5887, 0.9098], [0.1789, 0.2126, 0.5902], [0.1789, 0.4663, 0.5887], [0.2126, 0.1224, 0.0337], [0.2126, 0.5902, 0.1789], [0.2874, 0.3211, 0.9098], [0.2874, 0.4663, 0.3776], [0.3211, 0.9098, 0.2874], [0.3211, 0.9113, 0.0337], [0.3776, 0.2874, 0.4663], [0.3776, 0.5902, 0.9113], [0.4098, 0.0887, 0.6224], [0.4098, 0.8211, 0.7874], [0.4113, 0.0902, 0.8776], [0.4113, 0.8211, 0.5337], [0.4663, 0.3776, 0.2874], [0.4663, 0.5887, 0.1789], [0.5337, 0.4113, 0.8211], [0.5337, 0.6224, 0.7126], [0.5887, 0.1789, 0.4663], [0.5887, 0.9098, 0.1224], [0.5902, 0.1789, 0.2126], [0.5902, 0.9113, 0.3776], [0.6224, 0.4098, 0.0887], [0.6224, 0.7126, 0.5337], [0.6789, 0.0887, 0.9663], [0.6789, 0.0902, 0.7126], [0.7126, 0.5337, 0.6224], [0.7126, 0.6789, 0.0902], [0.7874, 0.4098, 0.8211], [0.7874, 0.8776, 0.9663], [0.8211, 0.5337, 0.4113], [0.8211, 0.7874, 0.4098], [0.8776, 0.4113, 0.0902], [0.8776, 0.9663, 0.7874], [0.9098, 0.1224, 0.5887], [0.9098, 0.2874, 0.3211], [0.9113, 0.0337, 0.3211], [0.9113, 0.3776, 0.5902], [0.9663, 0.6789, 0.0887], [0.9663, 0.7874, 0.8776]]
}

[7]
{
  "formula": "Cr2ReHg",
  "functional": "PBE",
  "state": "optimized geometry",
  "e_form_ev_per_atom": 0.6026,
  "dos_at_fermi_per_ev_atom": 0.9665,
  "space_group": "Cmmm",
  "cell": [[2.9691, -3.3436, 0.0000], [2.9691, 3.3436, 0.0000], [0.0000, 0.0000, 3.0698]],
  "species": ["Cr", "Cr", "Re", "Hg"],
  "fractional_positions": [[0.0000, 0.5000, 0.0000], [0.5000, 0.0000, 0.0000], [0.0000, 0.0000, 0.5000], [0.5000, 0.5000, 0.5000]]
}

[8]
{
  "formula": "Pm3Si4Au4",
  "functional": "PBE",
  "state": "optimized geometry",
  "dos_at_fermi_per_ev_atom": 0.3901,
  "formation_energy_uncorrected_kcal_per_mol_atoms": -17.1,
  "space_group": "P-1",
  "cell": [[4.2360, 0.0000, 0.0000], [-0.0030, 4.2771, 0.0000], [-2.1142, -2.1292, 12.6010]],
  "species": ["Pm", "Pm", "Pm", "Si", "Si", "Si", "Si", "Au", "Au", "Au", "Au"],
  "fractional_positions": [[0.0000, 0.0000, 0.0000], [0.1482, 0.6488, 0.2968], [0.8518, 0.3512, 0.7032], [0.3088, 0.8085, 0.6182], [0.4514, 0.4532, 0.9062], [0.5486, 0.5468, 0.0938], [0.6912, 0.1915, 0.3818], [0.2503, 0.2501, 0.5005], [0.4067, 0.9061, 0.8115], [0.5933, 0.0939, 0.1885], [0.7497, 0.7499, 0.4995]]
}

[9]
{
  "formula": "BeAlC2",
  "functional": "PBE",
  "state": "optimized geometry",
  "e_form_ev_per_atom": 1.4298,
  "dos_at_fermi_per_ev_atom": 0.4358,
  "de_polymorph_ev_per_fu": 2.93,
  "space_group": "Fm-3m",
  "cell": [[0.0000, 2.5701, 2.5701], [2.5701, 0.0000, 2.5701], [2.5701, 2.5701, 0.0000]],
  "species": ["Be", "Al", "C", "C"],
  "fractional_positions": [[0.0000, 0.0000, 0.0000], [0.5000, 0.5000, 0.5000], [0.2500, 0.2500, 0.2500], [0.7500, 0.7500, 0.7500]]
}

[10]
{
  "formula": "Ho4Ta",
  "functional": "PBE",
  "state": "optimized geometry",
  "e_form_ev_per_atom": 0.5931,
  "dos_at_fermi_per_ev_atom": 1.0184,
  "space_group": "Pm-3m",
  "cell": [[5.4837, 0.0000, 0.0000], [0.0000, 5.4837, 0.0000], [0.0000, 0.0000, 5.4837]],
  "species": ["Ho", "Ho", "Ho", "Ho", "Ta"],
  "fractional_positions": [[0.0000, 0.0000, 0.0000], [0.0000, 0.5000, 0.5000], [0.5000, 0.0000, 0.5000], [0.5000, 0.5000, 0.0000], [0.5000, 0.5000, 0.5000]]
}

[11]
{
  "formula": "YZnHg",
  "functional": "PBE",
  "state": "optimized geometry",
  "e_form_ev_per_atom": -0.4206,
  "dos_at_fermi_per_ev_atom": 0.6996,
  "space_group": "P-6m2",
  "cell": [[4.6730, 0.0000, 0.0000], [-2.3365, 4.0470, 0.0000], [0.0000, 0.0000, 3.5526]],
  "species": ["Y", "Zn", "Hg"],
  "fractional_positions": [[0.0000, 0.0000, 0.0000], [0.3333, 0.6667, 0.5000], [0.6667, 0.3333, 0.5000]]
}

[12]
{
  "formula": "Be2HAu",
  "functional": "PBE",
  "state": "optimized geometry",
  "dos_at_fermi_per_ev_atom": 0.2686,
  "de_polymorph_ev_per_fu": 1.46,
  "space_group": "Fm-3m",
  "cell": [[0.0000, 2.7583, 2.7583], [2.7583, 0.0000, 2.7583], [2.7583, 2.7583, 0.0000]],
  "species": ["Be", "Be", "H", "Au"],
  "fractional_positions": [[0.2500, 0.2500, 0.2500], [0.7500, 0.7500, 0.7500], [0.0000, 0.0000, 0.0000], [0.5000, 0.5000, 0.5000]]
}

Question: What is the formula in the sixth record?
Answer: Lu3V5S12